(1)
Material: Mn2TcSb
Method: DFT, PBE-GGA
State: relaxed

The space group is Cm (No. 8) and the conventional cell measures 8.761, 3.099 and 4.623 Å, with angles of 90.00, 103.45 and 90.00 degrees. The inequivalent atoms are Mn at (0.000, 0.000, 0.000), Mn at (0.248, 0.500, 0.227), Tc at (0.490, 0.000, 0.444) and Sb at (0.246, 0.000, 0.737).

Its energy is -7.9933 eV per atom. Its density of states at the Fermi level is 4.28 states/eV/f.u.

***

(2)
Material: RbVI
Method: DFT, PBE-GGA
State: relaxed

The space group is Cmmm (No. 65) and the conventional cell measures 9.917, 11.223 and 4.721 Å, with angles of 90.00, 90.00 and 90.00 degrees. The inequivalent atoms are Rb at (0.250, 0.250, 0.000), V at (0.000, 0.000, 0.311) and I at (0.221, 0.500, 0.500).

As for the energy above the most stable polymorph in this dataset: 23 kJ/mol of formula units. Its energy is -3.8448 eV per atom. Its density of states at the Fermi level is 0.92 states/eV/f.u.

***

(3)
Material: AlSb2Pt
Method: DFT, PBE-GGA
State: relaxed

The space group is I-4m2 (No. 119) and the conventional cell measures 4.533, 4.533 and 8.221 Å, with angles of 90.00, 90.00 and 90.00 degrees. The inequivalent atoms are Al at (0.000, 0.000, 0.000), Sb at (0.000, 0.000, 0.500), Sb at (0.000, 0.500, 0.250) and Pt at (0.000, 0.500, 0.750).

Its energy is -4.3886 eV per atom. Its density of states at the Fermi level is 2.19 states/eV/f.u.

***

(4)
Material: Ca6InHg5
Method: DFT, PBE-GGA
State: relaxed

The space group is Immm (No. 71) and the conventional cell measures 5.351, 7.666 and 16.082 Å, with angles of 90.00, 90.00 and 90.00 degrees. The inequivalent atoms are Ca at (0.000, 0.245, 0.000), Ca at (0.000, 0.252, 0.331), In at (0.000, 0.000, 0.500), Hg at (0.000, 0.000, 0.165), Hg at (0.000, 0.500, 0.162) and Hg at (0.000, 0.500, 0.500).

The formation energy is -6.5 eV per formula unit. Its energy is -1.8934 eV per atom. Its density of states at the Fermi level is 8.39 states/eV/f.u.

***

(5)
Material: SrHg2Cl
Method: DFT, PBE-GGA
State: relaxed

The space group is I-42d (No. 122) and the conventional cell measures 9.458, 9.458 and 5.872 Å, with angles of 90.00, 90.00 and 90.00 degrees. The inequivalent atoms are Sr at (0.000, 0.000, 0.000), Hg at (0.241, 0.250, 0.125) and Cl at (0.000, 0.000, 0.500).

As for the energy above the most stable polymorph in this dataset: 37 kJ/mol of formula units. Its energy is -1.8716 eV per atom. Its density of states at the Fermi level is 1.97 states/eV/f.u.

***

(6)
Material: Sr3LiHg
Method: DFT, PBE-GGA
State: relaxed

The space group is Pm-3m (No. 221) and the conventional cell measures 6.294, 6.294 and 6.294 Å, with angles of 90.00, 90.00 and 90.00 degrees. The inequivalent atoms are Sr at (0.000, 0.000, 0.500), Li at (0.500, 0.500, 0.500) and Hg at (0.000, 0.000, 0.000).

The formation energy is -0.3 eV per formula unit. As for the energy above the most stable polymorph in this dataset: 72 kJ/mol of formula units. Its energy is -1.5113 eV per atom. Its density of states at the Fermi level is 4.03 states/eV/f.u.

***

The highest energy belongs to which entry? Sr3LiHg

***

Which value of energy does entry 4 give? -1.8934 eV per atom

***

Which value of energy does entry 6 give? -1.5113 eV per atom

***

The highest energy belongs to which entry? Sr3LiHg